1.
First-principles (PBE) data for an optimized crystal structure of LaPm2P3, as listed in Alexandria via LeMat-Bulk.

Properties
As for the space-group type: Immm (71). The electronic total energy is -6.672 eV per atom. As for the formation energy from the elements: -36.0 kcal/mol of atoms.

Unit cell a=4.183 b=5.911 c=7.239 alpha=114.10 beta=106.79 gamma=90.00
Sites, in units of the cell vectors:
La 0.000 0.500 0.000
Pm 0.667 0.167 0.333
Pm 0.333 0.833 0.667
P 0.330 0.330 0.660
P 0.000 0.000 0.000
P 0.670 0.670 0.340

***

2.
First-principles (PBE) data for an optimized crystal structure of LaPmP, as listed in Alexandria via LeMat-Bulk.

Properties
As for the space-group type: F-43m (216). The electronic total energy is -5.918 eV per atom. The value obtained for the distance to the lowest polymorph of the same formula is 0.0774 eV/atom. As for the formation energy from the elements: -20.5 kcal/mol of atoms.

Unit cell a=4.913 b=4.913 c=4.913 alpha=60.00 beta=60.00 gamma=60.00
Sites, in units of the cell vectors:
P 0.250 0.250 0.250
La 0.000 0.000 0.000
Pm 0.500 0.500 0.500

***

3.
First-principles (PBE) data for an optimized crystal structure of La2Pm3PrP6, as listed in Alexandria via LeMat-Bulk.

Properties
As for the space-group type: C2/m (12). The electronic total energy is -6.669 eV per atom. As for the formation energy from the elements: -35.9 kcal/mol of atoms.

Unit cell a=4.193 b=8.386 c=9.372 alpha=102.96 beta=102.93 gamma=90.00
Sites, in units of the cell vectors:
La 0.834 0.667 0.667
La 0.166 0.333 0.333
Pm 0.500 0.500 0.000
Pm 0.834 0.166 0.667
Pm 0.166 0.834 0.333
Pr 0.500 0.000 0.000
P 0.333 0.921 0.665
P 0.665 0.587 0.330
P 0.667 0.079 0.335
P 0.999 0.252 0.997
P 0.001 0.748 0.003
P 0.335 0.413 0.670

***

4.
First-principles (PBE) data for an optimized crystal structure of La2PmPr3P6, as listed in Alexandria via LeMat-Bulk.

Properties
As for the space-group type: C2/m (12). The electronic total energy is -6.659 eV per atom. As for the formation energy from the elements: -35.6 kcal/mol of atoms.

Unit cell a=7.303 b=7.303 c=7.304 alpha=99.59 beta=99.59 gamma=120.00
Sites, in units of the cell vectors:
La 0.334 0.666 0.000
La 0.666 0.334 0.000
Pm 0.000 0.000 0.000
Pr 0.167 0.833 0.500
Pr 0.833 0.167 0.500
Pr 0.500 0.500 0.500
P 0.917 0.587 0.750
P 0.754 0.754 0.250
P 0.083 0.413 0.250
P 0.587 0.917 0.750
P 0.246 0.246 0.750
P 0.413 0.083 0.250

***

5.
First-principles (PBE) data for an optimized crystal structure of LaPm2PrP4, as listed in Alexandria via LeMat-Bulk.

Properties
As for the space-group type: P2/m (10). The electronic total energy is -6.659 eV per atom. As for the formation energy from the elements: -35.8 kcal/mol of atoms.

Unit cell a=4.188 b=7.249 c=7.249 alpha=70.56 beta=90.00 gamma=90.00
Sites, in units of the cell vectors:
La 0.500 0.500 0.000
Pm 0.000 0.000 0.000
Pm 0.500 0.000 0.500
Pr 0.000 0.500 0.500
P 0.000 0.756 0.747
P 0.000 0.244 0.253
P 0.500 0.755 0.249
P 0.500 0.245 0.751

***

6.
First-principles (PBE) data for an optimized crystal structure of La3PmPr2P6, as listed in Alexandria via LeMat-Bulk.

Properties
As for the space-group type: C2/m (12). The electronic total energy is -6.682 eV per atom. As for the formation energy from the elements: -35.8 kcal/mol of atoms.

Unit cell a=7.322 b=7.322 c=7.326 alpha=99.58 beta=99.58 gamma=120.00
Sites, in units of the cell vectors:
La 0.167 0.833 0.500
La 0.833 0.167 0.500
La 0.500 0.500 0.500
Pm 0.000 0.000 0.000
Pr 0.333 0.667 0.000
Pr 0.667 0.333 0.000
P 0.918 0.587 0.754
P 0.751 0.751 0.247
P 0.082 0.413 0.246
P 0.587 0.918 0.754
P 0.249 0.249 0.753
P 0.413 0.082 0.246

***

7.
First-principles (PBE) data for an optimized crystal structure of La3Pm2PrP6, as listed in Alexandria via LeMat-Bulk.

Properties
As for the space-group type: C2/m (12). The electronic total energy is -6.686 eV per atom. As for the formation energy from the elements: -36.0 kcal/mol of atoms.

Unit cell a=7.301 b=7.301 c=7.306 alpha=99.58 beta=99.58 gamma=120.00
Sites, in units of the cell vectors:
La 0.166 0.834 0.500
La 0.834 0.166 0.500
La 0.500 0.500 0.500
Pm 0.333 0.667 0.000
Pm 0.667 0.333 0.000
Pr 0.000 0.000 0.000
P 0.918 0.583 0.755
P 0.746 0.746 0.245
P 0.082 0.417 0.245
P 0.583 0.918 0.755
P 0.254 0.254 0.755
P 0.417 0.082 0.245

***

8.
First-principles (PBE) data for an optimized crystal structure of La2PmPrP4, as listed in Alexandria via LeMat-Bulk.

Properties
As for the space-group type: P2/m (10). The electronic total energy is -6.684 eV per atom. As for the formation energy from the elements: -35.9 kcal/mol of atoms.

Unit cell a=4.224 b=7.310 c=7.313 alpha=109.43 beta=90.00 gamma=90.00
Sites, in units of the cell vectors:
La 0.500 0.000 0.500
La 0.000 0.500 0.500
Pm 0.500 0.500 0.000
Pr 0.000 0.000 0.000
P 0.500 0.251 0.246
P 0.500 0.749 0.754
P 0.000 0.254 0.755
P 0.000 0.746 0.245

***

9.
First-principles (PBE) data for an optimized crystal structure of LaPmP2Rh5, as listed in Alexandria via LeMat-Bulk.

Properties
As for the space-group type: P4/mmm (123). The electronic total energy is -7.316 eV per atom. As for the formation energy from the elements: -22.0 kcal/mol of atoms.

Unit cell a=4.178 b=4.178 c=8.998 alpha=90.00 beta=90.00 gamma=90.00
Sites, in units of the cell vectors:
La 0.000 0.000 0.000
Pm 0.000 0.000 0.500
P 0.500 0.500 0.157
P 0.500 0.500 0.843
Rh 0.000 0.500 0.262
Rh 0.500 0.000 0.262
Rh 0.000 0.500 0.738
Rh 0.500 0.000 0.738
Rh 0.500 0.500 0.500

***

10.
First-principles (PBE) data for an optimized crystal structure of La2PmP3Rh12, as listed in Alexandria via LeMat-Bulk.

Properties
As for the space-group type: R-3m (166). The electronic total energy is -6.975 eV per atom. As for the formation energy from the elements: -8.3 kcal/mol of atoms.

Unit cell a=6.808 b=6.808 c=6.808 alpha=82.21 beta=82.21 gamma=82.21
Sites, in units of the cell vectors:
La 0.617 0.617 0.617
La 0.383 0.383 0.383
Pm 0.000 0.000 0.000
P 0.500 0.000 0.000
P 0.000 0.500 0.000
P 0.000 0.000 0.500
Rh 0.352 0.352 0.916
Rh 0.821 0.821 0.349
Rh 0.349 0.821 0.821
Rh 0.916 0.352 0.352
Rh 0.821 0.349 0.821
Rh 0.352 0.916 0.352
Rh 0.648 0.648 0.084
Rh 0.179 0.179 0.651
Rh 0.651 0.179 0.179
Rh 0.084 0.648 0.648
Rh 0.179 0.651 0.179
Rh 0.648 0.084 0.648

***

11.
First-principles (PBE) data for an optimized crystal structure of LaPmPS, as listed in Alexandria via LeMat-Bulk.

Properties
As for the space-group type: R3m (160). The electronic total energy is -6.696 eV per atom. As for the formation energy (no corrections): -7.57 eV per formula unit.

Unit cell a=4.148 b=4.148 c=7.214 alpha=73.29 beta=73.29 gamma=60.00
Sites, in units of the cell vectors:
La 0.946 0.946 0.161
Pm 0.442 0.442 0.674
P 0.696 0.696 0.911
S 0.192 0.192 0.425

***

12.
First-principles (PBE) data for an optimized crystal structure of LaPmSbP, as listed in Alexandria via LeMat-Bulk.

Properties
As for the space-group type: R3m (160). The electronic total energy is -6.173 eV per atom. As for the formation energy (no corrections): -5.48 eV per formula unit.

Unit cell a=4.354 b=4.354 c=7.656 alpha=73.48 beta=73.48 gamma=60.00
Sites, in units of the cell vectors:
La 0.992 0.992 0.023
Pm 0.507 0.507 0.478
Sb 0.752 0.752 0.743
P 0.248 0.248 0.255

***

13.
First-principles (PBE) data for an optimized crystal structure of LaPmPSe, as listed in Alexandria via LeMat-Bulk.

Properties
As for the space-group type: R3m (160). The electronic total energy is -6.396 eV per atom. As for the formation energy (no corrections): -7.01 eV per formula unit.

Unit cell a=4.135 b=4.135 c=7.693 alpha=90.00 beta=105.58 gamma=120.00
Sites, in units of the cell vectors:
La 0.486 0.141 0.642
Pm 0.120 0.958 0.093
P 0.309 0.553 0.877
Se 0.963 0.379 0.357

***

14.
First-principles (PBE) data for an optimized crystal structure of LaPmSm2P4, as listed in Alexandria via LeMat-Bulk.

Properties
As for the space-group type: I4/mmm (139). The electronic total energy is -6.657 eV per atom. As for the formation energy from the elements: -36.0 kcal/mol of atoms.

Unit cell a=5.876 b=5.876 c=7.200 alpha=114.08 beta=114.08 gamma=90.00
Sites, in units of the cell vectors:
La 0.937 0.937 0.000
Pm 0.437 0.437 0.000
Sm 0.187 0.687 0.500
Sm 0.687 0.187 0.500
P 0.937 0.437 0.000
P 0.437 0.937 0.000
P 0.190 0.190 0.505
P 0.685 0.685 0.495

***

15.
First-principles (PBE) data for an optimized crystal structure of LaPm2SmP4, as listed in Alexandria via LeMat-Bulk.

Properties
As for the space-group type: P2/m (10). The electronic total energy is -6.662 eV per atom. As for the formation energy from the elements: -36.1 kcal/mol of atoms.

Unit cell a=4.164 b=7.207 c=7.208 alpha=70.57 beta=90.00 gamma=90.00
Sites, in units of the cell vectors:
La 0.500 0.500 0.000
Pm 0.000 0.000 0.000
Pm 0.500 0.000 0.500
Sm 0.000 0.500 0.500
P 0.000 0.754 0.745
P 0.000 0.246 0.255
P 0.500 0.751 0.253
P 0.500 0.249 0.747

***

16.
First-principles (PBE) data for an optimized crystal structure of LaPm2Sm3P6, as listed in Alexandria via LeMat-Bulk.

Properties
As for the space-group type: C2/m (12). The electronic total energy is -6.653 eV per atom. As for the formation energy from the elements: -36.1 kcal/mol of atoms.

Unit cell a=7.178 b=7.178 c=7.177 alpha=99.59 beta=99.59 gamma=119.99
Sites, in units of the cell vectors:
La 0.000 0.000 0.000
Pm 0.333 0.667 0.000
Pm 0.667 0.333 0.000
Sm 0.166 0.834 0.500
Sm 0.834 0.166 0.500
Sm 0.500 0.500 0.500
P 0.915 0.579 0.746
P 0.748 0.748 0.253
P 0.085 0.421 0.254
P 0.579 0.915 0.746
P 0.252 0.252 0.747
P 0.421 0.085 0.254

***

17.
First-principles (PBE) data for an optimized crystal structure of SrLa2PmP4, as listed in Alexandria via LeMat-Bulk.

Properties
As for the space-group type: P2/m (10). The electronic total energy is -6.087 eV per atom. As for the formation energy from the elements: -31.0 kcal/mol of atoms.

Unit cell a=4.261 b=7.353 c=7.414 alpha=70.45 beta=90.00 gamma=90.00
Sites, in units of the cell vectors:
Sr 0.500 0.500 0.000
La 0.000 0.000 0.000
La 0.500 0.000 0.500
Pm 0.000 0.500 0.500
P 0.000 0.756 0.739
P 0.000 0.244 0.261
P 0.500 0.749 0.258
P 0.500 0.251 0.742

***

18.
First-principles (PBE) data for an optimized crystal structure of La3Tb2PmP6, as listed in Alexandria via LeMat-Bulk.

Properties
As for the space-group type: C2/m (12). The electronic total energy is -6.680 eV per atom. As for the formation energy from the elements: -36.3 kcal/mol of atoms.

Unit cell a=7.221 b=7.221 c=7.224 alpha=99.59 beta=99.59 gamma=120.00
Sites, in units of the cell vectors:
La 0.166 0.834 0.500
La 0.834 0.166 0.500
La 0.500 0.500 0.500
Tb 0.333 0.667 0.000
Tb 0.667 0.333 0.000
Pm 0.000 0.000 0.000
P 0.920 0.583 0.760
P 0.743 0.743 0.239
P 0.080 0.417 0.240
P 0.583 0.920 0.760
P 0.257 0.257 0.761
P 0.417 0.080 0.240

***

19.
First-principles (PBE) data for an optimized crystal structure of La3TbPm2P6, as listed in Alexandria via LeMat-Bulk.

Properties
As for the space-group type: C2/m (12). The electronic total energy is -6.685 eV per atom. As for the formation energy from the elements: -36.2 kcal/mol of atoms.

Unit cell a=7.251 b=7.251 c=7.255 alpha=99.59 beta=99.59 gamma=120.00
Sites, in units of the cell vectors:
La 0.167 0.833 0.500
La 0.833 0.167 0.500
La 0.500 0.500 0.500
Tb 0.000 0.000 0.000
Pm 0.334 0.666 0.000
Pm 0.666 0.334 0.000
P 0.920 0.590 0.759
P 0.751 0.751 0.242
P 0.080 0.410 0.241
P 0.590 0.920 0.759
P 0.249 0.249 0.758
P 0.410 0.080 0.241

***

20.
First-principles (PBE) data for an optimized crystal structure of LaPmTeP, as listed in Alexandria via LeMat-Bulk.

Properties
As for the space-group type: R3m (160). The electronic total energy is -6.131 eV per atom. As for the formation energy (no corrections): -6.29 eV per formula unit.

Unit cell a=4.245 b=4.246 c=7.963 alpha=90.00 beta=105.46 gamma=120.00
Sites, in units of the cell vectors:
La 0.110 0.953 0.078
Pm 0.495 0.145 0.655
Te 0.972 0.384 0.372
P 0.301 0.548 0.864